1.
# CePrCuHg | Alexandria | GGA-PBE | relaxed
data_CePrCuHg
_cell_length_a 7.471
_cell_length_b 7.471
_cell_length_c 7.471
_cell_angle_alpha 90.00
_cell_angle_beta 90.00
_cell_angle_gamma 90.00
_symmetry_space_group_name_H-M 'F -4 3 m'
_symmetry_Int_Tables_number 216
_symmetry_space_group_name_Hall 'F -4 2 3'
loop_
_atom_site_label
_atom_site_type_symbol
_atom_site_fract_x
_atom_site_fract_y
_atom_site_fract_z
_atom_site_occupancy
Ce1 Ce 0.000 0.000 0.000 1
Pr1 Pr 0.000 0.000 0.500 1
Cu1 Cu 0.250 0.250 0.250 1
Hg1 Hg 0.250 0.250 0.750 1
# E_form = -0.170 eV per atom
# Crystal system = cubic

***

2.
# CeCuHgPt | Alexandria | GGA-PBE | relaxed
data_CeCuHgPt
_cell_length_a 6.853
_cell_length_b 6.853
_cell_length_c 6.853
_cell_angle_alpha 90.00
_cell_angle_beta 90.00
_cell_angle_gamma 90.00
_symmetry_space_group_name_H-M 'F -4 3 m'
_symmetry_Int_Tables_number 216
_symmetry_space_group_name_Hall 'F -4 2 3'
loop_
_atom_site_label
_atom_site_type_symbol
_atom_site_fract_x
_atom_site_fract_y
_atom_site_fract_z
_atom_site_occupancy
Ce1 Ce 0.000 0.000 0.000 1
Cu1 Cu 0.250 0.250 0.750 1
Hg1 Hg 0.000 0.000 0.500 1
Pt1 Pt 0.250 0.250 0.250 1
# E_form = -0.421 eV per atom
# Crystal system = cubic

***

3.
# CeScCuHg | Alexandria | GGA-PBE | relaxed
data_CeScCuHg
_cell_length_a 7.146
_cell_length_b 7.146
_cell_length_c 7.146
_cell_angle_alpha 90.00
_cell_angle_beta 90.00
_cell_angle_gamma 90.00
_symmetry_space_group_name_H-M 'F -4 3 m'
_symmetry_Int_Tables_number 216
_symmetry_space_group_name_Hall 'F -4 2 3'
loop_
_atom_site_label
_atom_site_type_symbol
_atom_site_fract_x
_atom_site_fract_y
_atom_site_fract_z
_atom_site_occupancy
Ce1 Ce 0.000 0.000 0.000 1
Sc1 Sc 0.000 0.000 0.500 1
Cu1 Cu 0.250 0.250 0.250 1
Hg1 Hg 0.250 0.250 0.750 1
# E_form = -0.168 eV per atom
# Crystal system = cubic

***

4.
# SrCeCuHg | Alexandria | GGA-PBE | relaxed
data_SrCeCuHg
_cell_length_a 7.592
_cell_length_b 7.592
_cell_length_c 7.592
_cell_angle_alpha 90.00
_cell_angle_beta 90.00
_cell_angle_gamma 90.00
_symmetry_space_group_name_H-M 'F -4 3 m'
_symmetry_Int_Tables_number 216
_symmetry_space_group_name_Hall 'F -4 2 3'
loop_
_atom_site_label
_atom_site_type_symbol
_atom_site_fract_x
_atom_site_fract_y
_atom_site_fract_z
_atom_site_occupancy
Sr1 Sr 0.000 0.000 0.000 1
Ce1 Ce 0.000 0.000 0.500 1
Cu1 Cu 0.250 0.250 0.750 1
Hg1 Hg 0.250 0.250 0.250 1
# E_form = -0.124 eV per atom
# Crystal system = cubic

***

The lowest E_form belongs to which entry?
CeCuHgPt

***

Look up the E_form of the second one.
-0.421 eV per atom